1.
VASP calculation (GGA-PBE) on an optimized crystal structure of Y3Zn4Ni4.

The size of the total moment is 0.0 μB/cell. For the calculated formation energy, the calculation gives -395 meV per atom. The symmetry is Immm, No. 71. The value obtained for the calculated volume is 17.28 A^3/atom. Its electronic total energy is -4.72 eV/atom. Its crystal system is orthorhombic.

Lattice parameters (Å, degrees): 7.8717 7.8717 7.8717 150.47 127.09 61.76
Atoms (fractional coordinates):
Y (0.0000, 0.0000, 0.0000)
Y (0.3723, 0.8723, 0.5000)
Y (0.6277, 0.1277, 0.5000)
Zn (0.0203, 0.3298, 0.6906)
Zn (0.3608, 0.6702, 0.6906)
Zn (0.6392, 0.3298, 0.3094)
Zn (0.9797, 0.6702, 0.3094)
Ni (0.2191, 0.2191, 0.0000)
Ni (0.3261, 0.5000, 0.8261)
Ni (0.6739, 0.5000, 0.1739)
Ni (0.7809, 0.7809, 0.0000)



2.
VASP calculation (GGA-PBE) on an optimized crystal structure of YZn12Ni6.

The size of the total moment is 0.0 μB/cell. For the calculated formation energy, the calculation gives -95 meV per atom. The symmetry is R-3m, No. 166. The value obtained for the calculated volume is 14.99 A^3/atom. Its electronic total energy is -3.07 eV/atom. Its crystal system is trigonal.

Lattice parameters (Å, degrees): 6.8787 6.8787 6.8787 104.96 104.96 104.96
Atoms (fractional coordinates):
Y (0.0000, 0.0000, 0.0000)
Zn (0.1148, 0.5000, 0.8852)
Zn (0.1148, 0.8852, 0.5000)
Zn (0.1412, 0.3992, 0.3992)
Zn (0.3992, 0.1412, 0.3992)
Zn (0.3992, 0.3992, 0.1412)
Zn (0.5000, 0.1148, 0.8852)
Zn (0.5000, 0.8852, 0.1148)
Zn (0.6008, 0.6008, 0.8588)
Zn (0.6008, 0.8588, 0.6008)
Zn (0.8588, 0.6008, 0.6008)
Zn (0.8852, 0.1148, 0.5000)
Zn (0.8852, 0.5000, 0.1148)
Ni (0.2781, 0.2781, 0.6999)
Ni (0.2781, 0.6999, 0.2781)
Ni (0.3001, 0.7219, 0.7219)
Ni (0.6999, 0.2781, 0.2781)
Ni (0.7219, 0.3001, 0.7219)
Ni (0.7219, 0.7219, 0.3001)



3.
VASP calculation (GGA-PBE) on an optimized crystal structure of Y3Zn3Ni2.

The size of the total moment is 0.0 μB/cell. For the calculated formation energy, the calculation gives -406 meV per atom. The symmetry is Pnma, No. 62. The value obtained for the calculated volume is 19.60 A^3/atom. Its electronic total energy is -4.75 eV/atom. Its crystal system is orthorhombic.

Lattice parameters (Å, degrees): 7.4220 15.5883 5.4215 90.00 90.00 90.00
Atoms (fractional coordinates):
Y (0.0381, 0.1067, 0.1202)
Y (0.0381, 0.3933, 0.1202)
Y (0.1673, 0.2500, 0.6379)
Y (0.3327, 0.7500, 0.1379)
Y (0.4619, 0.6067, 0.6202)
Y (0.4619, 0.8933, 0.6202)
Y (0.5381, 0.1067, 0.3798)
Y (0.5381, 0.3933, 0.3798)
Y (0.6673, 0.2500, 0.8621)
Y (0.8327, 0.7500, 0.3621)
Y (0.9619, 0.6067, 0.8798)
Y (0.9619, 0.8933, 0.8798)
Zn (0.1742, 0.7500, 0.6296)
Zn (0.1753, 0.0341, 0.6042)
Zn (0.1753, 0.4659, 0.6042)
Zn (0.3247, 0.5341, 0.1042)
Zn (0.3247, 0.9659, 0.1042)
Zn (0.3258, 0.2500, 0.1296)
Zn (0.6742, 0.7500, 0.8704)
Zn (0.6753, 0.0341, 0.8958)
Zn (0.6753, 0.4659, 0.8958)
Zn (0.8247, 0.5341, 0.3958)
Zn (0.8247, 0.9659, 0.3958)
Zn (0.8258, 0.2500, 0.3704)
Ni (0.1169, 0.6134, 0.3803)
Ni (0.1169, 0.8866, 0.3803)
Ni (0.3831, 0.1134, 0.8803)
Ni (0.3831, 0.3866, 0.8803)
Ni (0.6169, 0.6134, 0.1197)
Ni (0.6169, 0.8866, 0.1197)
Ni (0.8831, 0.1134, 0.6197)
Ni (0.8831, 0.3866, 0.6197)



4.
VASP calculation (GGA-PBE) on an optimized crystal structure of Y6ZnNi2.

The size of the total moment is 0.0 μB/cell. For the calculated formation energy, the calculation gives -288 meV per atom. The symmetry is Immm, No. 71. The value obtained for the calculated volume is 24.88 A^3/atom. Its electronic total energy is -6.02 eV/atom. Its crystal system is orthorhombic.

Lattice parameters (Å, degrees): 8.3537 8.3537 8.3537 111.97 109.69 106.79
Atoms (fractional coordinates):
Y (0.0466, 0.2390, 0.8076)
Y (0.1795, 0.2804, 0.4599)
Y (0.1795, 0.7196, 0.8991)
Y (0.3259, 0.0188, 0.6928)
Y (0.3259, 0.6331, 0.3072)
Y (0.4314, 0.2390, 0.1924)
Y (0.5686, 0.7610, 0.8076)
Y (0.6741, 0.3669, 0.6928)
Y (0.6741, 0.9812, 0.3072)
Y (0.8205, 0.2804, 0.1009)
Y (0.8205, 0.7196, 0.5401)
Y (0.9534, 0.7610, 0.1924)
Zn (0.0000, 0.0000, 0.0000)
Zn (0.5000, 0.5000, 0.0000)
Ni (0.1185, 0.6185, 0.5000)
Ni (0.3461, 0.0000, 0.3461)
Ni (0.6539, 0.0000, 0.6539)
Ni (0.8815, 0.3815, 0.5000)



5.
VASP calculation (GGA-PBE) on an optimized crystal structure of YZn4Ni8.

The size of the total moment is 0.0 μB/cell. For the calculated formation energy, the calculation gives -204 meV per atom. The symmetry is I4/mmm, No. 139. The value obtained for the calculated volume is 13.03 A^3/atom. Its electronic total energy is -4.65 eV/atom. Its crystal system is tetragonal.

Lattice parameters (Å, degrees): 6.3706 6.3706 6.3706 98.50 98.50 134.78
Atoms (fractional coordinates):
Y (0.0000, 0.0000, 0.0000)
Zn (0.0000, 0.0000, 0.5000)
Zn (0.0000, 0.5000, 0.0000)
Zn (0.5000, 0.0000, 0.0000)
Zn (0.5000, 0.5000, 0.5000)
Ni (0.0000, 0.3568, 0.3568)
Ni (0.0000, 0.6432, 0.6432)
Ni (0.2746, 0.5000, 0.7746)
Ni (0.3568, 0.0000, 0.3568)
Ni (0.5000, 0.2746, 0.7746)
Ni (0.5000, 0.7254, 0.2254)
Ni (0.6432, 0.0000, 0.6432)
Ni (0.7254, 0.5000, 0.2254)



6.
VASP calculation (GGA-PBE) on an optimized crystal structure of YZn5Ni2.

The size of the total moment is 0.0 μB/cell. For the calculated formation energy, the calculation gives -273 meV per atom. The symmetry is Immm, No. 71. The value obtained for the calculated volume is 16.01 A^3/atom. Its electronic total energy is -3.32 eV/atom. Its crystal system is orthorhombic.

Lattice parameters (Å, degrees): 6.2296 6.2296 6.2296 145.17 107.69 82.84
Atoms (fractional coordinates):
Y (0.0000, 0.0000, 0.0000)
Zn (0.1585, 0.3466, 0.8119)
Zn (0.4654, 0.6534, 0.8119)
Zn (0.5000, 0.0000, 0.5000)
Zn (0.5346, 0.3466, 0.1881)
Zn (0.8415, 0.6534, 0.1881)
Ni (0.2394, 0.7394, 0.5000)
Ni (0.7606, 0.2606, 0.5000)



7.
VASP calculation (GGA-PBE) on an optimized crystal structure of YZnNi.

The size of the total moment is 0.0 μB/cell. For the calculated formation energy, the calculation gives 302 meV per atom. The symmetry is F-43m, No. 216. The value obtained for the calculated volume is 22.72 A^3/atom. Its electronic total energy is -4.20 eV/atom. Its crystal system is cubic.

Lattice parameters (Å, degrees): 4.5851 4.5851 4.5851 60.00 60.00 60.00
Atoms (fractional coordinates):
Y (0.0000, 0.0000, 0.0000)
Zn (0.7500, 0.7500, 0.7500)
Ni (0.2500, 0.2500, 0.2500)



8.
VASP calculation (GGA-PBE) on an optimized crystal structure of YZn3Ni.

The size of the total moment is 0.0 μB/cell. For the calculated formation energy, the calculation gives -311 meV per atom. The symmetry is P2_1/m, No. 11. The energy above the most stable polymorph in this dataset is 0 kJ/mol of formula units. The value obtained for the calculated volume is 17.30 A^3/atom. Its electronic total energy is -3.52 eV/atom. Its crystal system is monoclinic.

Lattice parameters (Å, degrees): 6.4252 4.0344 6.8765 90.00 103.96 90.00
Atoms (fractional coordinates):
Y (0.2040, 0.2500, 0.1826)
Y (0.7960, 0.7500, 0.8174)
Zn (0.0826, 0.2500, 0.6520)
Zn (0.3292, 0.7500, 0.8998)
Zn (0.3330, 0.7500, 0.5251)
Zn (0.6670, 0.2500, 0.4749)
Zn (0.6708, 0.2500, 0.1002)
Zn (0.9174, 0.7500, 0.3480)
Ni (0.4733, 0.2500, 0.7439)
Ni (0.5267, 0.7500, 0.2561)



Copy entry 3 word for word.
VASP calculation (GGA-PBE) on an optimized crystal structure of Y3Zn3Ni2.

The size of the total moment is 0.0 μB/cell. For the calculated formation energy, the calculation gives -406 meV per atom. The symmetry is Pnma, No. 62. The value obtained for the calculated volume is 19.60 A^3/atom. Its electronic total energy is -4.75 eV/atom. Its crystal system is orthorhombic.

Lattice parameters (Å, degrees): 7.4220 15.5883 5.4215 90.00 90.00 90.00
Atoms (fractional coordinates):
Y (0.0381, 0.1067, 0.1202)
Y (0.0381, 0.3933, 0.1202)
Y (0.1673, 0.2500, 0.6379)
Y (0.3327, 0.7500, 0.1379)
Y (0.4619, 0.6067, 0.6202)
Y (0.4619, 0.8933, 0.6202)
Y (0.5381, 0.1067, 0.3798)
Y (0.5381, 0.3933, 0.3798)
Y (0.6673, 0.2500, 0.8621)
Y (0.8327, 0.7500, 0.3621)
Y (0.9619, 0.6067, 0.8798)
Y (0.9619, 0.8933, 0.8798)
Zn (0.1742, 0.7500, 0.6296)
Zn (0.1753, 0.0341, 0.6042)
Zn (0.1753, 0.4659, 0.6042)
Zn (0.3247, 0.5341, 0.1042)
Zn (0.3247, 0.9659, 0.1042)
Zn (0.3258, 0.2500, 0.1296)
Zn (0.6742, 0.7500, 0.8704)
Zn (0.6753, 0.0341, 0.8958)
Zn (0.6753, 0.4659, 0.8958)
Zn (0.8247, 0.5341, 0.3958)
Zn (0.8247, 0.9659, 0.3958)
Zn (0.8258, 0.2500, 0.3704)
Ni (0.1169, 0.6134, 0.3803)
Ni (0.1169, 0.8866, 0.3803)
Ni (0.3831, 0.1134, 0.8803)
Ni (0.3831, 0.3866, 0.8803)
Ni (0.6169, 0.6134, 0.1197)
Ni (0.6169, 0.8866, 0.1197)
Ni (0.8831, 0.1134, 0.6197)
Ni (0.8831, 0.3866, 0.6197)